A plane-wave DFT calculation with PBE was carried out for a relaxed structure of MnCd2Co.

energy	-4.38	eV per atom
excess energy over the best structure of this formula in the dataset	0	meV per atom
magnetic moment	1.12	μB per atom
crystal system	tetragonal
formation enthalpy at 0 K	0.15	eV per atom
calculated volume	16.55	A^3/atom

a b c (Å): 3.034 3.034 7.189
angles (deg): 90.00 90.00 90.00
Atoms (fractional coordinates):
Cd 0.000 0.000 0.970
Cd 0.500 0.500 0.291
Co 0.000 0.000 0.539
Mn 0.500 0.500 0.701

A plane-wave DFT calculation with PBE was carried out for a relaxed structure of CoBr2N.

energy	-3.24	eV per atom
excess energy over the best structure of this formula in the dataset	353	meV per atom
magnetic moment	0.00	μB per atom
crystal system	cubic
formation energy (no corrections)	1.457	eV/atom
calculated volume	18.16	A^3/atom

a b c (Å): 4.683 4.683 4.683
angles (deg): 60.00 60.00 60.00
Atoms (fractional coordinates):
Co 0.500 0.500 0.500
Br 0.250 0.250 0.250
Br 0.750 0.750 0.750
N 0.000 0.000 0.000

A plane-wave DFT calculation with PBE was carried out for a relaxed structure of La2HRuRh.

energy	-6.37	eV per atom
excess energy over the best structure of this formula in the dataset	30	meV per atom
magnetic moment	0.00	μB per atom
crystal system	tetragonal
calculated volume	19.16	A^3/atom

a b c (Å): 5.175 5.175 3.576
angles (deg): 90.00 90.00 90.00
Atoms (fractional coordinates):
Ru 0.500 0.500 0.500
Rh 0.000 0.000 0.500
H 0.000 0.000 0.000
La 0.000 0.500 0.000
La 0.500 0.000 0.000

Q: Which of these has the highest calculated volume?
A: La2HRuRh

Q: Among the records above, which one has the highest energy?
A: CoBr2N

Q: What is the formula in the third record?
A: La2HRuRh